# 1
MgCu2Tc meta-GGA SCAN PBEsol geometry; space group = I-4m2, No. 119
1.0
-0.8069 0.7775 -3.5454
3.5011 -0.7915 -0.9704
-2.3425 -3.6818 1.6755
Cu Mg Tc
2 1 1
direct
0.0000 0.0000 0.0000
0.7500 0.2500 0.5000
0.5000 0.5000 0.0000
0.2500 0.7500 0.5000



# 2
H12PtC6N6O8 meta-GGA SCAN PBEsol geometry; space group = P2_1/c, No. 14
1.0
-3.4581 -0.3199 0.9761
4.2989 -7.2393 8.7966
1.4600 11.8845 9.0671
H Pt C N O
24 2 12 12 16
direct
0.4607 0.9416 0.5735
0.3327 0.5790 0.9072
0.4116 0.6555 0.7738
0.1859 0.5934 0.2891
0.4607 0.4416 0.9265
0.3327 0.0790 0.5928
0.2596 0.6474 0.1797
0.3590 0.9067 0.1856
0.4116 0.1555 0.7262
0.6410 0.5933 0.6856
0.7404 0.8526 0.6797
0.1859 0.0934 0.2109
0.8141 0.9066 0.7891
0.2596 0.1474 0.3203
0.3590 0.4067 0.3144
0.5884 0.8445 0.2738
0.6410 0.0933 0.8144
0.7404 0.3526 0.8203
0.6673 0.9210 0.4072
0.5393 0.5584 0.0735
0.8141 0.4066 0.7109
0.5884 0.3445 0.2262
0.6673 0.4210 0.0928
0.5393 0.0584 0.4265
0.0000 0.5000 0.5000
0.0000 0.0000 0.0000
0.2029 0.7865 0.0282
0.2029 0.2865 0.4718
0.7971 0.7135 0.5282
0.7971 0.2135 0.9718
0.1407 0.7963 0.9275
0.1407 0.2963 0.5725
0.5603 0.0031 0.6980
0.5603 0.5031 0.8020
0.4397 0.4969 0.1980
0.4397 0.9969 0.3020
0.8593 0.7037 0.4275
0.8593 0.2037 0.0725
0.4488 0.5091 0.8867
0.5204 0.5878 0.7475
0.2974 0.5879 0.2265
0.7026 0.9121 0.7265
0.4488 0.0091 0.6133
0.4796 0.9122 0.2475
0.5204 0.0878 0.7525
0.5512 0.9909 0.3867
0.2974 0.0879 0.2735
0.7026 0.4121 0.7735
0.4796 0.4122 0.2525
0.5512 0.4909 0.1133
0.1909 0.7196 0.8765
0.1282 0.8724 0.0742
0.9748 0.6102 0.4021
0.1909 0.2196 0.6235
0.1282 0.3724 0.4258
0.9748 0.1102 0.0979
0.3103 0.7018 0.0612
0.3103 0.2018 0.4388
0.6897 0.7982 0.5612
0.6897 0.2982 0.9388
0.0252 0.8898 0.9021
0.8718 0.6276 0.5742
0.8091 0.7804 0.3765
0.0252 0.3898 0.5979
0.8718 0.1276 0.9258
0.8091 0.2804 0.1235



# 3
SrSb2Os meta-GGA SCAN PBEsol geometry; space group = R3m, No. 160
1.0
-3.4935 0.1514 -0.3714
-2.0860 -1.6469 2.3026
-2.0899 7.2170 5.9535
Os Sb Sr
1 2 1
direct
0.2598 0.2598 0.2206
0.9844 0.9844 0.0467
0.7458 0.7458 0.7625
0.5099 0.5099 0.4702



# 4
Cd3Ag2 meta-GGA SCAN PBEsol geometry; space group = R-3m, No. 166; distance to the lowest polymorph of the same formula = 24 meV/atom
1.0
2.9872 0.0000 0.0000
1.4936 2.5870 0.0000
1.4936 0.8623 12.0138
Ag Cd
2 3
direct
0.3983 0.3983 0.8050
0.6017 0.6017 0.1950
0.0000 0.0000 0.0000
0.2028 0.2028 0.3915
0.7972 0.7972 0.6085



Raw total energy readings, ordered: -69.13 -299.69 -167.03 -154.08 eV/f.u.
Calculated density readings, ordered: 7.750 2.483 8.629 9.890 g cm⁻³